VASP calculation (PBE with a Hubbard U) on a relaxed V2Sn2O crystal.

- DOS at the Fermi energy (states/eV/cell) = 4.931
- crystal system = tetragonal
- excess energy over the best structure of this formula in the dataset (kJ/mol of atoms) = 0.0
- energy (eV per atom) = -5.60

Cell: 5.873 5.873 5.416 Å, 90.00 90.00 90.00°
Last column: magnetic moment on the atom in μB.
Positions (direct):
Sn (0.181, 0.681, 0.500)  -0.04
Sn (0.681, 0.819, 0.500)  -0.04
Sn (0.819, 0.319, 0.500)  -0.04
Sn (0.319, 0.181, 0.500)  -0.04
O (0.000, 0.000, 0.000)  -0.01
O (0.500, 0.500, 0.000)  -0.01
V (0.316, 0.816, 0.000)  2.48
V (0.816, 0.684, 0.000)  2.48
V (0.684, 0.184, 0.000)  2.48
V (0.184, 0.316, 0.000)  2.48